[1]
Computed, not measured: a relaxed Co3Pt crystal at the PBEsol level of DFT.

Calculated volume in Å³ per cell: 47
Calculated formation energy in eV/atom: 0.00

Unit cell a=4.380 b=4.380 c=2.588 alpha=90.00 beta=90.00 gamma=108.85
Sites, in units of the cell vectors:
1 Co 0.000 0.000 0.000
2 Co 0.000 0.500 0.500
3 Co 0.500 0.000 0.500
4 Pt 0.500 0.500 0.000



[2]
Computed, not measured: a relaxed Co3Pt crystal at the PBEsol level of DFT.

Calculated volume in Å³ per cell: 47
Calculated formation energy in eV/atom: -0.03

Unit cell a=2.592 b=4.088 c=4.420 alpha=90.00 beta=90.00 gamma=90.00
Sites, in units of the cell vectors:
1 Co 0.000 0.000 0.000
2 Co 0.000 0.500 0.318
3 Co 0.500 0.000 0.471
4 Pt 0.500 0.500 0.818



[3]
Computed, not measured: a relaxed Co3Pt crystal at the PBEsol level of DFT.

Calculated volume in Å³ per cell: 47
Calculated formation energy in eV/atom: -0.02

Unit cell a=4.390 b=4.390 c=4.389 alpha=100.64 beta=100.64 gamma=34.35
Sites, in units of the cell vectors:
1 Co 0.000 0.000 0.000
2 Co 0.255 0.255 0.770
3 Co 0.745 0.745 0.230
4 Pt 0.500 0.500 0.500



[4]
Computed, not measured: a relaxed CoPt2 crystal at the PBEsol level of DFT.

Calculated volume in Å³ per cell: 123
Calculated formation energy in eV/atom: -0.03

Unit cell a=7.265 b=7.265 c=2.696 alpha=90.00 beta=90.00 gamma=120.00
Sites, in units of the cell vectors:
1 Co 0.000 0.000 0.000
2 Co 0.333 0.667 0.500
3 Co 0.667 0.333 0.500
4 Pt 0.000 0.296 0.500
5 Pt 0.000 0.632 0.000
6 Pt 0.296 0.000 0.500
7 Pt 0.368 0.368 0.000
8 Pt 0.632 0.000 0.000
9 Pt 0.704 0.704 0.500



[5]
Computed, not measured: a relaxed CoPt crystal at the PBEsol level of DFT.

Calculated volume in Å³ per cell: 52
Calculated formation energy in eV/atom: -0.04

Unit cell a=4.904 b=4.904 c=4.514 alpha=113.45 beta=113.45 gamma=31.48
Sites, in units of the cell vectors:
1 Co 0.135 0.135 0.310
2 Co 0.865 0.865 0.690
3 Pt 0.382 0.382 0.200
4 Pt 0.618 0.618 0.800



[6]
Computed, not measured: a relaxed Co12Pt17 crystal at the PBEsol level of DFT.

Calculated volume in Å³ per cell: 388
Calculated formation energy in eV/atom: -0.02

Unit cell a=7.956 b=7.956 c=7.956 alpha=109.47 beta=109.47 gamma=109.47
Sites, in units of the cell vectors:
1 Co 0.000 0.638 0.816
2 Co 0.000 0.816 0.638
3 Co 0.178 0.362 0.362
4 Co 0.184 0.184 0.822
5 Co 0.184 0.822 0.184
6 Co 0.362 0.178 0.362
7 Co 0.362 0.362 0.178
8 Co 0.638 0.000 0.816
9 Co 0.638 0.816 0.000
10 Co 0.816 0.000 0.638
11 Co 0.816 0.638 0.000
12 Co 0.822 0.184 0.184
13 Pt 0.000 0.000 0.000
14 Pt 0.000 0.000 0.339
15 Pt 0.000 0.317 0.609
16 Pt 0.000 0.339 0.000
17 Pt 0.000 0.609 0.317
18 Pt 0.292 0.683 0.683
19 Pt 0.317 0.000 0.609
20 Pt 0.317 0.609 0.000
21 Pt 0.339 0.000 0.000
22 Pt 0.391 0.391 0.708
23 Pt 0.391 0.708 0.391
24 Pt 0.609 0.000 0.317
25 Pt 0.609 0.317 0.000
26 Pt 0.661 0.661 0.661
27 Pt 0.683 0.292 0.683
28 Pt 0.683 0.683 0.292
29 Pt 0.708 0.391 0.391



[7]
Computed, not measured: a relaxed CoPt3 crystal at the PBEsol level of DFT.

Calculated volume in Å³ per cell: 56
Calculated formation energy in eV/atom: -0.03

Unit cell a=2.706 b=3.803 c=5.452 alpha=90.00 beta=90.00 gamma=90.00
Sites, in units of the cell vectors:
1 Co 0.000 0.000 0.000
2 Pt 0.000 0.000 0.500
3 Pt 0.500 0.500 0.239
4 Pt 0.500 0.500 0.761



[8]
Computed, not measured: a relaxed CoPt crystal at the PBEsol level of DFT.

Calculated volume in Å³ per cell: 78
Calculated formation energy in eV/atom: -0.05

Unit cell a=4.955 b=4.955 c=6.349 alpha=105.65 beta=105.65 gamma=31.22
Sites, in units of the cell vectors:
1 Co 0.000 0.000 0.000
2 Co 0.062 0.062 0.585
3 Co 0.667 0.667 0.320
4 Pt 0.343 0.343 0.658
5 Pt 0.394 0.394 0.266
6 Pt 0.707 0.707 0.923



[9]
Computed, not measured: a relaxed Co7Pt6 crystal at the PBEsol level of DFT.

Calculated volume in Å³ per cell: 164
Calculated formation energy in eV/atom: -0.01

Unit cell a=8.998 b=8.998 c=8.998 alpha=30.30 beta=30.30 gamma=30.30
Sites, in units of the cell vectors:
1 Co 0.000 0.000 0.000
2 Co 0.092 0.092 0.588
3 Co 0.092 0.588 0.092
4 Co 0.412 0.908 0.908
5 Co 0.588 0.092 0.092
6 Co 0.908 0.412 0.908
7 Co 0.908 0.908 0.412
8 Pt 0.164 0.164 0.164
9 Pt 0.346 0.346 0.346
10 Pt 0.451 0.451 0.451
11 Pt 0.549 0.549 0.549
12 Pt 0.654 0.654 0.654
13 Pt 0.836 0.836 0.836



[10]
Computed, not measured: a relaxed CoPt3 crystal at the PBEsol level of DFT.

Calculated volume in Å³ per cell: 56
Calculated formation energy in eV/atom: -0.04

Unit cell a=8.976 b=8.976 c=8.976 alpha=17.36 beta=17.36 gamma=17.36
Sites, in units of the cell vectors:
1 Co 0.000 0.000 0.000
2 Pt 0.256 0.256 0.256
3 Pt 0.500 0.500 0.500
4 Pt 0.744 0.744 0.744



[11]
Computed, not measured: a relaxed Co3Pt crystal at the PBEsol level of DFT.

Calculated volume in Å³ per cell: 47
Calculated formation energy in eV/atom: -0.03

Unit cell a=2.585 b=3.504 c=5.162 alpha=90.00 beta=90.00 gamma=90.00
Sites, in units of the cell vectors:
1 Co 0.000 0.000 0.000
2 Co 0.500 0.500 0.226
3 Co 0.500 0.500 0.774
4 Pt 0.000 0.000 0.500



[12]
Computed, not measured: a relaxed Co4Pt crystal at the PBEsol level of DFT.

Calculated volume in Å³ per cell: 79
Calculated formation energy in eV/atom: 1.16
Energy relative to the lowest polymorph listed for this composition in eV per atom: 1.189

Unit cell a=4.690 b=4.690 c=4.690 alpha=109.47 beta=109.47 gamma=109.47
Sites, in units of the cell vectors:
1 Co 0.000 0.000 0.500
2 Co 0.000 0.500 0.000
3 Co 0.500 0.000 0.000
4 Co 0.500 0.500 0.500
5 Pt 0.000 0.000 0.000



no.,density of states at the Fermi level (states/eV per atom)
1,1.25
2,0.79
3,1.01
4,0.90
5,0.90
6,0.95
7,1.32
8,0.88
9,1.17
10,1.11
11,0.99
12,1.96